# U3Tl4CuTe8

Crystalline U3Tl4CuTe8 at its relaxed geometry (PBE-GGA, the Alexandria database).

Cell lengths 8.725, 9.687, 8.729 Å; angles 116.80, 119.98, 90.00 degrees
Each line ends with the local moment (μB).
Fractional coordinates of all 16 atoms:
Te1 0.254 0.295 0.024  -0.07
Te2 0.746 0.705 0.976  -0.07
Te3 0.230 0.705 0.460  -0.07
Te4 0.771 0.295 0.024  -0.07
Te5 0.261 0.282 0.521  -0.06
Te6 0.229 0.705 0.976  -0.07
Te7 0.770 0.295 0.540  -0.07
Te8 0.739 0.718 0.479  -0.06
Tl1 0.500 0.000 0.000  -0.01
Tl2 0.000 0.000 0.500  -0.01
Tl3 0.500 0.000 0.500  -0.01
Tl4 0.000 0.000 0.000  -0.01
U1 0.500 0.500 0.000  2.41
U2 0.000 0.500 0.500  2.41
U3 0.500 0.500 0.500  2.41
Cu1 0.000 0.500 0.000  -0.05

Computed properties:
Total energy   -4.963 eV per atom
N(E_F)   17.6 states/eV per cell
Crystal system   trigonal